3
Lattice="0.000 3.329 3.329 3.329 0.000 3.329 3.329 3.329 0.000" Properties=species:S:1:pos:R:3 comment="UInRe | OQMD | PBE | optimized geometry" e_above_lowest_polymorph_mev_per_atom=729 pbc="T T T"
U 0.000 0.000 0.000
In 4.993 4.993 4.993
Re 1.664 1.664 1.664


8
Lattice="3.666 0.000 0.000 0.000 6.263 0.000 0.000 0.000 5.834" Properties=species:S:1:pos:R:3 comment="Ge2PdPt | OQMD | PBE | optimized geometry" e_above_lowest_polymorph_mev_per_atom=11 pbc="T T T"
Ge 0.000 1.043 0.000
Ge 0.000 5.220 2.917
Ge 1.833 2.077 3.654
Ge 1.833 4.186 0.737
Pd 0.000 2.789 1.838
Pd 0.000 3.474 4.755
Pt 1.833 0.383 1.810
Pt 1.833 5.881 4.727


Compound: GdTmCSe
Source: OQMD
Functional: PBE
Structure: optimized geometry

extended XYZ file:
```
8
Lattice="3.751 0.000 0.000 -1.875 3.248 0.000 0.000 0.000 13.255" Properties=species:S:1:pos:R:3 pbc="T T T"
Gd 0.000 2.166 1.367
Gd 1.875 1.083 11.887
Tm 0.000 2.166 5.339
Tm 1.875 1.083 7.916
C 0.000 0.000 0.000
C 0.000 0.000 6.627
Se 0.000 2.166 9.858
Se 1.875 1.083 3.396
```


| no. | final energy (eV/f.u.) |
| --- | --- |
| 1 | -22.563 |
| 2 | -22.371 |
| 3 | -26.415 |